The following is a DFT calculation (GGA-PBE) of a relaxed MgSnBi crystal.

Total energy, eV per atom: -3.190

CIF file:
```
data_MgSnBi
_symmetry_space_group_name_H-M 'P 1'
_symmetry_Int_Tables_number 1
_symmetry_space_group_name_Hall 'P 1'
_cell_length_a 5.0336
_cell_length_b 5.0336
_cell_length_c 5.0336
_cell_angle_alpha 60.00
_cell_angle_beta 60.00
_cell_angle_gamma 60.00
loop_
_atom_site_label
_atom_site_fract_x
_atom_site_fract_y
_atom_site_fract_z
Mg1 0.0000 0.0000 0.0000
Sn1 0.2500 0.2500 0.2500
Bi1 0.7500 0.7500 0.7500
```

***

The following is a DFT calculation (GGA-PBE) of a relaxed MgSnBi crystal.

Total energy, eV per atom: -3.194

CIF file:
```
data_MgSnBi
_symmetry_space_group_name_H-M 'P 1'
_symmetry_Int_Tables_number 1
_symmetry_space_group_name_Hall 'P 1'
_cell_length_a 7.5321
_cell_length_b 7.5321
_cell_length_c 7.5321
_cell_angle_alpha 154.10
_cell_angle_beta 154.10
_cell_angle_gamma 36.95
loop_
_atom_site_label
_atom_site_fract_x
_atom_site_fract_y
_atom_site_fract_z
Mg1 0.0000 0.0000 0.0000
Sn1 0.6453 0.6453 0.0000
Bi1 0.3427 0.3427 0.0000
```

***

The following is a DFT calculation (GGA-PBE) of a relaxed Mg2SnBi crystal.

Total energy, eV per atom: -2.737

CIF file:
```
data_Mg2SnBi
_symmetry_space_group_name_H-M 'P 1'
_symmetry_Int_Tables_number 1
_symmetry_space_group_name_Hall 'P 1'
_cell_length_a 6.6430
_cell_length_b 6.6430
_cell_length_c 6.6430
_cell_angle_alpha 104.40
_cell_angle_beta 104.40
_cell_angle_gamma 120.18
loop_
_atom_site_label
_atom_site_fract_x
_atom_site_fract_y
_atom_site_fract_z
Mg1 0.1235 0.6250 0.9985
Mg2 0.3750 0.3735 0.4985
Mg3 0.6265 0.1250 0.0015
Mg4 0.8750 0.8765 0.5015
Sn1 0.0000 0.0000 0.0000
Sn2 0.7500 0.2500 0.5000
Bi1 0.2500 0.7500 0.5000
Bi2 0.5000 0.5000 0.0000
```

***

| no. | formation energy from the elements (eV per atom) | Fermi-level density of states (states/eV per atom) | calculated density (g cm⁻³) |
| --- | --- | --- | --- |
| 1 | -0.030 | 0.43 | 6.5 |
| 2 | -0.034 | 0.53 | 7.2 |
| 3 | 0.031 | 0.74 | 5.7 |